# Pm3GaCu3 | Alexandria via LeMat-Bulk | PBE | optimized geometry
data_Pm3GaCu3
_space_group_name_H-M_alt 'P 63/m'
_space_group_IT_number 176
_space_group_name_Hall '-P 6c'
_cell_length_a 10.1405
_cell_length_b 10.1405
_cell_length_c 4.3824
_cell_angle_alpha 90.00
_cell_angle_beta 90.00
_cell_angle_gamma 120.00
loop_
_atom_site_label
_atom_site_type_symbol
_atom_site_fract_x
_atom_site_fract_y
_atom_site_fract_z
_atom_site_occupancy
Pm1 Pm 0.2108 0.7881 0.2500 1
Ga1 Ga 0.3333 0.6667 0.7500 1
Cu1 Cu 0.0597 0.5303 0.7500 1
# VASP energy: -4.355 eV per atom
# Size of the total moment: 0.0 μB per cell
# Excess energy over the best structure of this formula in the dataset: 0.155 eV per atom
# ΔH_f (0 K): -131 meV/atom

# SrAlSi2Ru | Alexandria via LeMat-Bulk | PBE | optimized geometry
data_SrAlSi2Ru
_space_group_name_H-M_alt 'P 4/m m m'
_space_group_IT_number 123
_space_group_name_Hall '-P 4 2'
_cell_length_a 4.8069
_cell_length_b 4.8069
_cell_length_c 4.6502
_cell_angle_alpha 90.00
_cell_angle_beta 90.00
_cell_angle_gamma 90.00
loop_
_atom_site_label
_atom_site_type_symbol
_atom_site_fract_x
_atom_site_fract_y
_atom_site_fract_z
_atom_site_occupancy
Sr1 Sr 0.0000 0.0000 0.0000 1
Al1 Al 0.5000 0.5000 0.5000 1
Si1 Si 0.0000 0.5000 0.5000 1
Ru1 Ru 0.5000 0.5000 0.0000 1
# VASP energy: -4.637 eV per atom
# Size of the total moment: 0.0 μB per cell
# E_form (uncorrected): 45.55 kJ/mol of atoms

# TaMnRe2 | Alexandria via LeMat-Bulk | PBE | optimized geometry
data_TaMnRe2
_space_group_name_H-M_alt 'P 1 2/m 1'
_space_group_IT_number 10
_cell_length_a 2.7044
_cell_length_b 4.4267
_cell_length_c 5.1166
_cell_angle_alpha 90.00
_cell_angle_beta 98.82
_cell_angle_gamma 90.00
loop_
_space_group_symop_operation_xyz
'x,y,z'
'-x,-y,-z'
'-x,y,-z'
'x,-y,z'
loop_
_atom_site_label
_atom_site_type_symbol
_atom_site_fract_x
_atom_site_fract_y
_atom_site_fract_z
_atom_site_occupancy
Ta1 Ta 0.0000 0.0000 0.0000 1
Mn1 Mn 0.5000 0.0000 0.5000 1
Re1 Re 0.2530 0.5000 0.7419 1
# VASP energy: -11.480 eV per atom
# Size of the total moment: 2.3 μB per cell
# ΔH_f (0 K): -1 meV/atom

# CoSnSb2Te | Alexandria via LeMat-Bulk | PBE | optimized geometry
data_CoSnSb2Te
_space_group_name_H-M_alt 'P 4/m m m'
_space_group_IT_number 123
_space_group_name_Hall '-P 4 2'
_cell_length_a 4.8466
_cell_length_b 4.8466
_cell_length_c 5.5799
_cell_angle_alpha 90.00
_cell_angle_beta 90.00
_cell_angle_gamma 90.00
loop_
_atom_site_label
_atom_site_type_symbol
_atom_site_fract_x
_atom_site_fract_y
_atom_site_fract_z
_atom_site_occupancy
Co1 Co 0.0000 0.0000 0.0000 1
Sn1 Sn 0.5000 0.5000 0.5000 1
Sb1 Sb 0.0000 0.5000 0.0000 1
Te1 Te 0.0000 0.0000 0.5000 1
# VASP energy: -4.235 eV per atom
# Size of the total moment: 0.0 μB per cell
# Excess energy over the best structure of this formula in the dataset: 0.000 eV per atom
# E_form (uncorrected): 25.44 kJ/mol of atoms

# Tm3IrRu | Alexandria via LeMat-Bulk | PBE | optimized geometry
data_Tm3IrRu
_space_group_name_H-M_alt 'P m m n'
_space_group_IT_number 59
_cell_length_a 4.1036
_cell_length_b 6.6956
_cell_length_c 8.4448
_cell_angle_alpha 90.00
_cell_angle_beta 90.00
_cell_angle_gamma 90.00
loop_
_space_group_symop_operation_xyz
'x,y,z'
'-x,-y,-z'
'-x+1/2,-y+1/2,z'
'x+1/2,y+1/2,-z'
'x+1/2,-y,-z'
'-x+1/2,y,z'
'-x,y+1/2,-z'
'x,-y+1/2,z'
loop_
_atom_site_label
_atom_site_type_symbol
_atom_site_fract_x
_atom_site_fract_y
_atom_site_fract_z
_atom_site_occupancy
Tm1 Tm 0.2500 0.0133 0.1671 1
Tm2 Tm 0.2500 0.2500 0.5429 1
Ir1 Ir 0.2500 0.2500 0.8787 1
Ru1 Ru 0.2500 0.7500 0.6762 1
# VASP energy: -6.811 eV per atom
# Size of the total moment: 0.0 μB per cell
# ΔH_f (0 K): -501 meV/atom

# Cs2YBeW | Alexandria via LeMat-Bulk | PBE | optimized geometry
data_Cs2YBeW
_space_group_name_H-M_alt 'P 4/m m m'
_space_group_IT_number 123
_space_group_name_Hall '-P 4 2'
_cell_length_a 6.2751
_cell_length_b 6.2751
_cell_length_c 5.4067
_cell_angle_alpha 90.00
_cell_angle_beta 90.00
_cell_angle_gamma 90.00
loop_
_atom_site_label
_atom_site_type_symbol
_atom_site_fract_x
_atom_site_fract_y
_atom_site_fract_z
_atom_site_occupancy
Cs1 Cs 0.0000 0.5000 0.0000 1
Y1 Y 0.0000 0.0000 0.5000 1
Be1 Be 0.5000 0.5000 0.5000 1
W1 W 0.0000 0.0000 0.0000 1
# VASP energy: -3.099 eV per atom
# Size of the total moment: 0.0 μB per cell
# ΔH_f (0 K): 1871 meV/atom